Entry from Alexandria via LeMat-Bulk: KAsIr at its PBEsol-relaxed geometry (SCAN).

Cell: 4.5054 4.5054 4.5054 Å, 60.00 60.00 60.00°
With the nearest neighbours (Å) after each atom.
Fractional positions:
Ir1 0.0000 0.0000 0.0000  4 As 2.76
K1 0.5000 0.5000 0.5000  4 As 2.76
As1 0.2500 0.2500 0.2500  4 K 2.76, 4 Ir 2.76

Results
DFT formation energy = 760 meV per atom
total moment = 0.69 μB per formula unit
raw total energy = -32.45 eV/atom


Entry from Alexandria via LeMat-Bulk: KAsIr2 at its PBEsol-relaxed geometry (SCAN).

Cell: 4.1507 4.1507 4.8489 Å, 115.34 115.34 90.00°
With the nearest neighbours (Å) after each atom.
Fractional positions:
K1 0.5000 0.5000 0.0000  8 Ir 2.83, 4 As 2.93
As1 0.0000 0.0000 0.0000  8 Ir 2.83, 4 K 2.93
Ir1 0.7500 0.2500 0.5000  4 As 2.83, 4 K 2.83, 4 Ir 2.93
Ir2 0.2500 0.7500 0.5000  4 As 2.83, 4 K 2.83, 4 Ir 2.93

Results
DFT formation energy = 1001 meV per atom
total moment = 0.00 μB per formula unit
raw total energy = -41.68 eV/atom


Entry from Alexandria via LeMat-Bulk: K2AsIr at its PBEsol-relaxed geometry (SCAN).

Cell: 2.8231 2.8231 10.4770 Å, 90.00 90.00 90.00°
With the nearest neighbours (Å) after each atom.
Fractional positions:
As1 0.5000 0.5000 0.0000  4 As 2.82
K1 0.0000 0.0000 0.2513  4 K 2.82
K2 0.0000 0.0000 0.7487  4 K 2.82
Ir1 0.5000 0.5000 0.5000  4 Ir 2.82

Results
DFT formation energy = 405 meV per atom
total moment = 0.00 μB per formula unit
raw total energy = -26.58 eV/atom


Entry from Alexandria via LeMat-Bulk: KAsIr2 at its PBEsol-relaxed geometry (SCAN).

Cell: 2.6628 5.0622 5.7809 Å, 115.91 103.21 90.24°
With the nearest neighbours (Å) after each atom.
Fractional positions:
K1 0.5000 0.5000 0.0000  2 K 2.66, 4 As 2.86, 4 Ir 2.89
Ir1 0.0000 0.0000 0.5000  6 Ir 2.66-2.86, 2 K 2.89, 2 As 2.89
Ir2 0.5000 0.5000 0.5000  6 Ir 2.66-2.86, 2 As 2.89, 2 K 2.89
As1 0.0000 0.0000 0.0000  2 As 2.66, 4 K 2.86, 4 Ir 2.89

Results
DFT formation energy = 764 meV per atom
total moment = 0.00 μB per formula unit
raw total energy = -41.92 eV/atom


Entry from Alexandria via LeMat-Bulk: K2AsIr at its PBEsol-relaxed geometry (SCAN).

Cell: 4.0472 5.6187 6.1349 Å, 117.25 109.26 90.00°
With the nearest neighbours (Å) after each atom.
Fractional positions:
K1 0.7840 0.2840 0.5681  4 K 3.40-3.74, 4 As 3.52-3.56, 4 Ir 3.64
Ir1 0.1747 0.6747 0.3494  2 As 2.29
As1 0.5680 0.5680 0.1360  2 Ir 2.29
K2 0.9733 0.9733 0.9465  4 K 3.40-3.74, 4 Ir 3.47-3.64, 4 As 3.59

Results
DFT formation energy = -190 meV per atom
total moment = 0.00 μB per formula unit
raw total energy = -27.18 eV/atom


Entry from Alexandria via LeMat-Bulk: KAsIr2 at its PBEsol-relaxed geometry (SCAN).

Cell: 4.5321 4.6075 4.5321 Å, 119.46 90.00 119.46°
With the nearest neighbours (Å) after each atom.
Fractional positions:
Ir1 0.7500 0.5000 0.2500  4 K 2.81, 4 Ir 2.81
As1 0.2500 0.5000 0.7500  4 K 2.81, 4 Ir 2.81
K1 0.5000 0.0000 0.5000  4 As 2.81, 4 Ir 2.81
Ir2 0.0000 0.0000 0.0000  4 Ir 2.81, 4 As 2.81

Results
DFT formation energy = 947 meV per atom
total moment = 0.00 μB per formula unit
raw total energy = -41.73 eV/atom


Entry from Alexandria via LeMat-Bulk: LaAsIr at its PBEsol-relaxed geometry (SCAN).

Cell: 4.1684 4.1684 8.0021 Å, 105.10 105.10 90.00°
With the nearest neighbours (Å) after each atom.
Fractional positions:
Ir1 0.8359 0.8359 0.6719  3 As 2.44-2.45
As1 0.6714 0.6714 0.3427  3 Ir 2.44-2.45
As2 0.9214 0.4214 0.8427  3 Ir 2.44-2.45
Ir2 0.0859 0.5859 0.1719  3 As 2.44-2.45
La1 0.5007 0.0007 0.0014  6 As 3.18-3.28, 6 Ir 3.21-3.22
La2 0.2507 0.2507 0.5014  6 As 3.18-3.28, 6 Ir 3.21-3.22

Results
DFT formation energy = -1215 meV per atom
total moment = 0.00 μB per formula unit
raw total energy = -46.01 eV/atom


Entry from Alexandria via LeMat-Bulk: LaAs2Ir at its PBEsol-relaxed geometry (SCAN).

Cell: 4.8382 4.8382 4.8382 Å, 60.00 60.00 60.00°
With the nearest neighbours (Å) after each atom.
Fractional positions:
As1 0.2500 0.2500 0.2500  4 As 2.96, 4 Ir 2.96
Ir1 0.5000 0.5000 0.5000  4 La 2.96, 4 As 2.96
As2 0.0000 0.0000 0.0000  4 La 2.96, 4 As 2.96
La1 0.7500 0.7500 0.7500  4 As 2.96, 4 Ir 2.96

Results
DFT formation energy = -139 meV per atom
total moment = 0.00 μB per formula unit
raw total energy = -38.79 eV/atom